Record 1
4
Lattice="2.799 -4.406 0.000 2.799 4.406 0.000 0.000 0.000 2.588" Properties=species:S:1:pos:R:3 comment="meta-GGA SCAN KIrOs2, PBEsol geometry" formation_energy_mev_per_atom=1451 spacegroup=Cmmm polymorph_energy_mev_per_atom=695 pbc="T T T"
K 0.000 0.000 0.000
Ir 2.799 0.000 0.000
Os 1.399 2.203 1.294
Os 1.399 -2.203 1.294

---

Record 2
4
Lattice="4.046 0.000 0.000 0.000 4.046 0.000 0.000 0.000 8.350" Properties=species:S:1:pos:R:3 comment="meta-GGA SCAN TlTeBr2, PBEsol geometry" formation_energy_uncorrected_ev_per_fu=-0.962 spacegroup=P4mm polymorph_energy_mev_per_atom=17 pbc="T T T"
Tl 0.000 0.000 0.000
Te 2.023 2.023 5.134
Br 0.000 0.000 4.650
Br 2.023 2.023 1.315

---

Record 3
4
Lattice="4.482 -1.696 0.000 4.482 1.696 0.000 -1.224 0.000 5.681" Properties=species:S:1:pos:R:3 comment="meta-GGA SCAN MnTl2Au, PBEsol geometry" formation_energy_mev_per_atom=15 spacegroup=Cm polymorph_energy_mev_per_atom=85 pbc="T T T"
Mn 0.000 0.000 0.000
Tl 1.314 0.000 4.264
Tl 3.786 0.000 2.439
Au 6.317 0.000 0.967

---

Record 4
5
Lattice="5.262 0.000 0.000 0.000 5.262 0.000 0.000 0.000 5.178" Properties=species:S:1:pos:R:3 comment="meta-GGA SCAN MnFeSbI2, PBEsol geometry" formation_energy_uncorrected_ev_per_fu=3.334 spacegroup=P4/mmm pbc="T T T"
Mn 0.000 0.000 0.000
Fe 2.631 2.631 2.589
Sb 0.000 0.000 2.589
I 0.000 2.631 0.000
I 2.631 0.000 0.000

---

Record 5
4
Lattice="4.273 0.000 0.000 0.000 2.474 0.000 0.000 0.000 4.680" Properties=species:S:1:pos:R:3 comment="meta-GGA SCAN LiCu, PBEsol geometry" formation_energy_mev_per_atom=-2 spacegroup=Pmma pbc="T T T"
Li 1.068 0.000 0.739
Li 3.205 0.000 3.941
Cu 1.068 1.237 2.996
Cu 3.205 1.237 1.684

---

Record 6
4
Lattice="1.633 -2.703 0.000 1.633 2.703 0.000 0.000 0.000 8.620" Properties=species:S:1:pos:R:3 comment="meta-GGA SCAN ReTe2Mo, PBEsol geometry" formation_energy_uncorrected_ev_per_fu=4.824 spacegroup=Cmmm polymorph_energy_mev_per_atom=896 pbc="T T T"
Re 0.000 0.000 0.000
Te 1.633 0.000 2.145
Te 1.633 0.000 6.475
Mo 0.000 0.000 4.310

---

Record 7
6
Lattice="0.000 3.245 3.245 3.245 0.000 3.245 3.245 3.245 0.000" Properties=species:S:1:pos:R:3 comment="meta-GGA SCAN Fe2Tc, PBEsol geometry" formation_energy_mev_per_atom=89 spacegroup=Fd-3m polymorph_energy_mev_per_atom=83 pbc="T T T"
Fe 0.000 0.000 0.000
Fe 1.622 1.622 0.000
Fe 1.622 0.000 1.622
Fe 0.000 1.622 1.622
Tc 2.434 2.434 2.434
Tc 4.056 4.056 4.056

---

Record 8
4
Lattice="3.482 0.000 0.000 0.000 4.772 0.000 0.000 0.000 5.383" Properties=species:S:1:pos:R:3 comment="meta-GGA SCAN In2AsSe, PBEsol geometry" formation_energy_uncorrected_ev_per_fu=0.692 spacegroup=Pmmm polymorph_energy_mev_per_atom=499 pbc="T T T"
In 0.000 0.000 0.000
In 1.741 2.386 0.000
As 0.000 2.386 2.691
Se 1.741 0.000 2.691

---

Record 9
6
Lattice="0.000 3.457 3.457 3.457 0.000 3.457 3.457 3.457 0.000" Properties=species:S:1:pos:R:3 comment="meta-GGA SCAN YCu4Ir, PBEsol geometry" formation_energy_mev_per_atom=-238 spacegroup=F-43m pbc="T T T"
Y 0.000 0.000 0.000
Cu 4.314 2.600 2.600
Cu 2.600 4.314 2.600
Cu 2.600 2.600 4.314
Cu 4.314 4.314 4.314
Ir 1.729 1.729 1.729

---

Record 10
4
Lattice="0.000 3.650 3.650 3.650 0.000 3.650 3.650 3.650 0.000" Properties=species:S:1:pos:R:3 comment="meta-GGA SCAN Li2LaIn, PBEsol geometry" formation_energy_mev_per_atom=-336 spacegroup=F-43m pbc="T T T"
Li 0.000 0.000 0.000
Li 1.825 1.825 1.825
La 5.476 5.476 5.476
In 3.650 3.650 3.650

---

Record 11
3
Lattice="0.000 3.671 3.671 3.671 0.000 3.671 3.671 3.671 0.000" Properties=species:S:1:pos:R:3 comment="meta-GGA SCAN BaMnAl, PBEsol geometry" formation_energy_mev_per_atom=875 spacegroup=F-43m pbc="T T T"
Ba 0.000 0.000 0.000
Mn 5.507 5.507 5.507
Al 1.836 1.836 1.836

---

Record 12
3
Lattice="4.169 0.000 0.000 -2.085 3.611 0.000 0.000 0.000 4.092" Properties=species:S:1:pos:R:3 comment="meta-GGA SCAN PrCuGe, PBEsol geometry" formation_energy_mev_per_atom=-718 spacegroup=P-6m2 pbc="T T T"
Pr 0.000 0.000 0.000
Cu 2.085 1.204 2.046
Ge 0.000 2.407 2.046

---

What calculated volume values result from the calculations? In sequence: 63.8, 136.7, 86.3, 143.4, 24.7, 76.1, 34.2, 89.4, 82.6, 97.3, 99.0, 61.6 Å³/f.u..